Entry from Alexandria via LeMat-Bulk: Na3GaAs after structural relaxation (PBE-GGA).

Output
As for the energy of formation: -181 meV/atom. The value obtained for the total energy is -2.51 eV per atom. The calculation puts the energy relative to the lowest polymorph listed for this composition at 0 meV per atom. The value obtained for the density of states at the Fermi level is 4.09 states/eV/cell. As for the space-group type: Ima2, No. 46.

extended XYZ file:
```
10
Lattice="7.2482 0.4954 0.1807 -3.1262 6.5581 -0.1807 -3.5301 -2.6681 5.7648" Properties=species:S:1:pos:R:3 pbc="T T T"
Ga -0.3160 -1.1523 4.4831
Na 3.7600 -0.3290 4.1056
Na -1.2456 2.5963 4.2152
Ga -0.2570 3.5444 1.2817
Na 3.4653 4.5744 1.5496
Na 5.3545 1.6015 1.2100
As 0.7646 5.7485 0.9641
Na -4.7631 2.7830 4.5549
As 1.1029 0.8196 4.8007
Na 1.5858 0.9416 1.8399
```



Entry from Alexandria via LeMat-Bulk: NaGa2As4 after structural relaxation (PBE-GGA).

Output
As for the energy of formation: 497 meV/atom. The value obtained for the total energy is -3.21 eV per atom. The value obtained for the density of states at the Fermi level is 4.08 states/eV/cell. As for the space-group type: I4/mmm, No. 139.

extended XYZ file:
```
7
Lattice="-2.4239 3.7915 1.9475 -0.9649 -2.6703 3.9978 4.6466 2.9937 6.1282" Properties=species:S:1:pos:R:3 pbc="T T T"
As -0.4824 -1.3351 1.9989
As 1.5672 1.8121 4.5958
Ga -0.4797 1.0267 3.5771
As -1.2120 1.8958 0.9737
Na 0.0000 0.0000 0.0000
Ga 1.7375 3.0882 8.4963
As -0.3094 2.3028 7.4777
```